No. 1
The following is a DFT calculation (GGA-PBE) of a geometry-optimized TmZn5Pd2 structure. Values from VASP.

Structure (Quantum ESPRESSO input):
```
&SYSTEM
  ibrav = 0, nat = 8, ntyp = 3
/
ATOMIC_SPECIES
Tm 168.93 Tm.upf
Zn 65.41 Zn.upf
Pd 106.42 Pd.upf
CELL_PARAMETERS angstrom
3.589 0.000 0.000
1.794 6.278 -0.204
1.794 1.694 6.049
ATOMIC_POSITIONS crystal
Tm 0.000 0.000 0.000
Zn 0.000 0.500 0.500
Zn 0.638 0.558 0.166
Zn 0.362 0.442 0.834
Zn 0.362 0.834 0.442
Zn 0.638 0.166 0.558
Pd 0.737 0.763 0.763
Pd 0.263 0.237 0.237
```

Values from the calculation:
DOS(E_F): 3.31 states/eV/cell
Uncorrected energy: -3.069 eV/atom
Energy relative to the elements: -0.42 eV per atom

No. 2
The following is a DFT calculation (GGA-PBE) of a geometry-optimized Co2AgTe structure. Values from VASP.

Structure (Quantum ESPRESSO input):
```
&SYSTEM
  ibrav = 0, nat = 4, ntyp = 3
/
ATOMIC_SPECIES
Ag 107.87 Ag.upf
Co 58.93 Co.upf
Te 127.60 Te.upf
CELL_PARAMETERS angstrom
-1.973 3.353 -0.410
-1.523 -0.496 3.270
2.745 2.057 3.616
ATOMIC_POSITIONS crystal
Ag 0.500 0.769 0.838
Co 0.000 0.197 0.981
Co 0.500 0.051 0.271
Te 0.000 0.483 0.410
```

Values from the calculation:
DOS(E_F): 6.25 states/eV/cell
Uncorrected energy: -4.680 eV/atom
E_form (uncorrected): 371 meV/atom

No. 3
The following is a DFT calculation (GGA-PBE) of a geometry-optimized SiHgH3 structure. Values from VASP.

Structure (Quantum ESPRESSO input):
```
&SYSTEM
  ibrav = 0, nat = 5, ntyp = 3
/
ATOMIC_SPECIES
H 1.01 H.upf
Si 28.09 Si.upf
Hg 200.59 Hg.upf
CELL_PARAMETERS angstrom
3.767 0.000 0.000
0.000 3.767 0.000
0.000 0.000 3.767
ATOMIC_POSITIONS crystal
H 0.000 0.500 0.000
H 0.000 0.000 0.500
H 0.500 0.000 0.000
Si 0.000 0.000 0.000
Hg 0.500 0.500 0.500
```

Values from the calculation:
DOS(E_F): 0.67 states/eV/cell
Uncorrected energy: -2.669 eV/atom

No. 4
The following is a DFT calculation (GGA-PBE) of a geometry-optimized Pm2HgGe4Rh3 structure. Values from VASP.

Structure (Quantum ESPRESSO input):
```
&SYSTEM
  ibrav = 0, nat = 10, ntyp = 4
/
ATOMIC_SPECIES
Pm 145.00 Pm.upf
Hg 200.59 Hg.upf
Ge 72.64 Ge.upf
Rh 102.91 Rh.upf
CELL_PARAMETERS angstrom
4.333 0.000 0.000
0.000 4.333 0.000
0.000 0.000 10.307
ATOMIC_POSITIONS crystal
Pm 0.500 0.000 0.235
Pm 0.000 0.500 0.765
Hg 0.500 0.500 0.500
Ge 0.500 0.500 0.000
Ge 0.000 0.000 0.000
Ge 0.500 0.000 0.649
Ge 0.000 0.500 0.351
Rh 0.000 0.000 0.500
Rh 0.500 0.000 0.882
Rh 0.000 0.500 0.118
```

Values from the calculation:
DOS(E_F): 6.53 states/eV/cell
Uncorrected energy: -5.709 eV/atom
Energy relative to the elements: -0.68 eV per atom

No. 5
The following is a DFT calculation (GGA-PBE) of a geometry-optimized Sc2SeF structure. Values from VASP.

Structure (Quantum ESPRESSO input):
```
&SYSTEM
  ibrav = 0, nat = 4, ntyp = 3
/
ATOMIC_SPECIES
Sc 44.96 Sc.upf
Se 78.96 Se.upf
F 19.00 F.upf
CELL_PARAMETERS angstrom
0.000 3.211 3.211
3.211 0.000 3.211
3.211 3.211 0.000
ATOMIC_POSITIONS crystal
Sc 0.250 0.250 0.250
Sc 0.750 0.750 0.750
Se 0.500 0.500 0.500
F 0.000 0.000 0.000
```

Values from the calculation:
DOS(E_F): 4.11 states/eV/cell
Uncorrected energy: -6.044 eV/atom
E_form (uncorrected): -1539 meV/atom

No. 6
The following is a DFT calculation (GGA-PBE) of a geometry-optimized SrPtCl2 structure. Values from VASP.

Structure (Quantum ESPRESSO input):
```
&SYSTEM
  ibrav = 0, nat = 4, ntyp = 3
/
ATOMIC_SPECIES
Sr 87.62 Sr.upf
Pt 195.08 Pt.upf
Cl 35.45 Cl.upf
CELL_PARAMETERS angstrom
-5.327 0.174 -0.078
0.961 -1.290 5.081
-2.075 3.020 3.385
ATOMIC_POSITIONS crystal
Sr 0.000 0.500 0.500
Pt 0.500 0.000 0.500
Cl 0.000 0.000 0.000
Cl 0.500 0.500 0.000
```

Values from the calculation:
DOS(E_F): 0.92 states/eV/cell
Uncorrected energy: -3.831 eV/atom
E_form (uncorrected): -977 meV/atom

No. 7
The following is a DFT calculation (GGA-PBE) of a geometry-optimized Pm3Sm6Ho2Th structure. Values from VASP.

Structure (Quantum ESPRESSO input):
```
&SYSTEM
  ibrav = 0, nat = 12, ntyp = 4
/
ATOMIC_SPECIES
Pm 145.00 Pm.upf
Sm 150.36 Sm.upf
Ho 164.93 Ho.upf
Th 232.04 Th.upf
CELL_PARAMETERS angstrom
6.250 0.003 0.015
-3.120 5.415 0.015
-1.071 -1.854 11.825
ATOMIC_POSITIONS crystal
Pm 0.167 0.833 0.500
Pm 0.833 0.167 0.500
Pm 0.500 0.500 0.500
Sm 0.917 0.587 0.754
Sm 0.753 0.753 0.246
Sm 0.083 0.413 0.246
Sm 0.587 0.917 0.754
Sm 0.247 0.247 0.754
Sm 0.413 0.083 0.246
Ho 0.333 0.667 0.000
Ho 0.667 0.333 0.000
Th 0.000 0.000 0.000
```

Values from the calculation:
DOS(E_F): 16.71 states/eV/cell
Uncorrected energy: -4.903 eV/atom
Energy relative to the elements: 0.03 eV per atom

No. 8
The following is a DFT calculation (GGA-PBE) of a geometry-optimized SmCF structure. Values from VASP.

Structure (Quantum ESPRESSO input):
```
&SYSTEM
  ibrav = 0, nat = 6, ntyp = 3
/
ATOMIC_SPECIES
Sm 150.36 Sm.upf
C 12.01 C.upf
F 19.00 F.upf
CELL_PARAMETERS angstrom
3.811 -0.027 -0.008
-1.928 3.601 0.178
0.033 -1.404 6.634
ATOMIC_POSITIONS crystal
Sm 0.832 0.667 0.773
Sm 0.168 0.333 0.227
C 0.432 0.862 0.057
C 0.568 0.138 0.943
F 0.819 0.633 0.400
F 0.181 0.367 0.600
```

Values from the calculation:
DOS(E_F): 2.14 states/eV/cell
Uncorrected energy: -7.212 eV/atom
E_form (uncorrected): -1941 meV/atom